1.
Below is crystalline Th2PaAl at its relaxed geometry, with properties calculated at the PBE level.

a = 3.364 Å, b = 3.364 Å, c = 9.520 Å
α = 90.00°, β = 90.00°, γ = 90.00°
Atoms (fractional coordinates):
1 Th 0.000 0.000 0.231
2 Th 0.000 0.000 0.769
3 Pa 0.500 0.500 0.500
4 Al 0.500 0.500 0.000

2.
Below is crystalline Ce2Pr2Sb2C at its relaxed geometry, with properties calculated at the PBE level.

a = 4.783 Å, b = 4.783 Å, c = 16.949 Å
α = 90.00°, β = 90.00°, γ = 90.00°
Atoms (fractional coordinates):
1 Ce 0.000 0.500 0.000
2 Ce 0.000 0.500 0.500
3 Ce 0.500 0.000 0.000
4 Ce 0.500 0.000 0.500
5 Pr 0.000 0.000 0.167
6 Pr 0.000 0.000 0.833
7 Pr 0.500 0.500 0.333
8 Pr 0.500 0.500 0.667
9 Sb 0.000 0.000 0.361
10 Sb 0.000 0.000 0.639
11 Sb 0.500 0.500 0.139
12 Sb 0.500 0.500 0.861
13 C 0.000 0.000 0.000
14 C 0.500 0.500 0.500

Properties
uncorrected formation energy: -5.3 eV/f.u.

3.
Below is crystalline Be2TcW at its relaxed geometry, with properties calculated at the PBE level.

a = 5.716 Å, b = 5.716 Å, c = 5.716 Å
α = 90.00°, β = 90.00°, γ = 90.00°
Atoms (fractional coordinates):
1 Be 0.250 0.250 0.250
2 Be 0.250 0.250 0.750
3 Be 0.250 0.750 0.250
4 Be 0.250 0.750 0.750
5 Be 0.750 0.250 0.250
6 Be 0.750 0.250 0.750
7 Be 0.750 0.750 0.250
8 Be 0.750 0.750 0.750
9 Tc 0.000 0.000 0.000
10 Tc 0.000 0.500 0.500
11 Tc 0.500 0.000 0.500
12 Tc 0.500 0.500 0.000
13 W 0.000 0.000 0.500
14 W 0.000 0.500 0.000
15 W 0.500 0.000 0.000
16 W 0.500 0.500 0.500

4.
Below is crystalline NaInC at its relaxed geometry, with properties calculated at the PBE level.

a = 10.120 Å, b = 10.120 Å, c = 10.120 Å
α = 21.83°, β = 21.83°, γ = 21.83°
Atoms (fractional coordinates):
1 Na 0.110 0.110 0.110
2 Na 0.890 0.890 0.890
3 In 0.370 0.370 0.370
4 In 0.630 0.630 0.630
5 C 0.280 0.280 0.280
6 C 0.720 0.720 0.720

5.
Below is crystalline La2TiOs2 at its relaxed geometry, with properties calculated at the PBE level.

a = 6.864 Å, b = 6.864 Å, c = 4.847 Å
α = 90.00°, β = 90.00°, γ = 90.00°
Atoms (fractional coordinates):
1 La 0.180 0.320 0.000
2 La 0.320 0.820 0.000
3 La 0.680 0.180 0.000
4 La 0.820 0.680 0.000
5 Ti 0.000 0.000 0.500
6 Ti 0.500 0.500 0.500
7 Os 0.128 0.628 0.500
8 Os 0.372 0.128 0.500
9 Os 0.628 0.872 0.500
10 Os 0.872 0.372 0.500

6.
Below is crystalline La3ThSe4 at its relaxed geometry, with properties calculated at the PBE level.

a = 8.573 Å, b = 12.123 Å, c = 4.278 Å
α = 90.00°, β = 90.00°, γ = 90.00°
Atoms (fractional coordinates):
1 La 0.000 0.000 0.000
2 La 0.250 0.250 0.500
3 La 0.250 0.750 0.500
4 La 0.500 0.500 0.000
5 La 0.750 0.250 0.500
6 La 0.750 0.750 0.500
7 Th 0.000 0.500 0.000
8 Th 0.500 0.000 0.000
9 Se 0.000 0.252 0.000
10 Se 0.000 0.748 0.000
11 Se 0.246 0.500 0.500
12 Se 0.254 0.000 0.500
13 Se 0.500 0.248 0.000
14 Se 0.500 0.752 0.000
15 Se 0.746 0.000 0.500
16 Se 0.754 0.500 0.500

Properties
uncorrected formation energy: -15.0 eV/f.u.

The records above give, respectively, final energy values of -7.01, -6.31, -7.54, -3.65, -8.04, -6.40 eV/atom.